Compound: Be8Co
Source: the Alexandria database
Functional: GGA-PBE
Structure: relaxed

E = -4.203 eV/atom

Cell lengths 5.441, 5.441, 5.441 Å; angles 93.33, 93.33, 152.12 degrees
Fractional positions:
Be 0.666 0.666 0.331
Be 0.334 0.334 0.669
Be 0.334 0.666 0.000
Be 0.332 0.000 0.332
Be 0.668 0.000 0.668
Be 0.000 0.332 0.332
Be 0.000 0.668 0.668
Be 0.666 0.334 0.000
Co 0.000 0.000 0.000